Record 1
Computed, not measured: an optimized crystal structure of LiMgTc2Ge at the PBE-GGA level of DFT.

a b c (Å): 4.757 4.757 4.768
angles (deg): 90.00 90.00 90.00
Element x y z (fractional)
1 Li 0.000 0.000 0.000
2 Mg 0.500 0.500 0.500
3 Tc 0.000 0.500 0.500
4 Tc 0.500 0.000 0.500
5 Ge 0.500 0.500 0.000

Properties
total magnetization = 4.57 μB/f.u.
electronic total energy = -20.9 eV for the cell shown
energy of formation from the pure elements = 1.59 eV/atom

=====

Record 2
Computed, not measured: an optimized crystal structure of LuHfCoRe at the PBE-GGA level of DFT.

a b c (Å): 4.617 4.617 4.617
angles (deg): 60.00 60.00 60.00
Element x y z (fractional)
1 Lu 0.000 0.000 0.000
2 Hf 0.500 0.500 0.500
3 Co 0.250 0.250 0.250
4 Re 0.750 0.750 0.750

Properties
total magnetization = 0.00 μB/f.u.
electronic total energy = -34.7 eV for the cell shown
energy of formation from the pure elements = -0.16 eV/atom

=====

Record 3
Computed, not measured: an optimized crystal structure of RbSbRhI2 at the PBE-GGA level of DFT.

a b c (Å): 6.778 6.778 6.841
angles (deg): 90.00 90.00 90.00
Element x y z (fractional)
1 Rb 0.000 0.000 0.000
2 Sb 0.000 0.000 0.500
3 Rh 0.500 0.500 0.500
4 I 0.000 0.500 0.000
5 I 0.500 0.000 0.000

Properties
ΔE to the lowest computed polymorph = 7.61 eV per formula unit
total magnetization = 4.85 μB/f.u.
electronic total energy = -9.8 eV for the cell shown
formation energy without anion corrections = 1149 meV/atom

=====

Record 4
Computed, not measured: an optimized crystal structure of YHfAu at the PBE-GGA level of DFT.

a b c (Å): 6.387 6.387 6.916
angles (deg): 105.74 105.74 30.80
Element x y z (fractional)
1 Y 0.000 0.000 0.000
2 Y 0.692 0.692 0.357
3 Hf 0.007 0.007 0.520
4 Hf 0.687 0.687 0.839
5 Au 0.346 0.346 0.678
6 Au 0.348 0.348 0.181

Properties
ΔE to the lowest computed polymorph = 0.34 eV per formula unit
total magnetization = 0.00 μB/f.u.
electronic total energy = -41.6 eV for the cell shown
energy of formation from the pure elements = -0.36 eV/atom

=====

Record 5
Computed, not measured: an optimized crystal structure of Na2SrAgF at the PBE-GGA level of DFT.

a b c (Å): 4.842 4.842 5.181
angles (deg): 90.00 90.00 90.00
Element x y z (fractional)
1 Na 0.000 0.500 0.000
2 Na 0.500 0.000 0.000
3 Sr 0.000 0.000 0.500
4 Ag 0.500 0.500 0.500
5 F 0.000 0.000 0.000

Properties
total magnetization = 0.00 μB/f.u.
electronic total energy = -14.5 eV for the cell shown
formation energy without anion corrections = -1101 meV/atom

=====

Record 6
Computed, not measured: an optimized crystal structure of Rb2TbBO4 at the PBE-GGA level of DFT.

a b c (Å): 13.117 12.016 6.385
angles (deg): 85.11 65.88 29.01
Element x y z (fractional)
1 Rb 0.056 0.056 0.694
2 Rb 0.306 0.306 0.944
3 Rb 0.694 0.694 0.056
4 Rb 0.944 0.944 0.306
5 Tb 0.125 0.125 0.125
6 Tb 0.875 0.875 0.875
7 B 0.375 0.375 0.375
8 B 0.625 0.625 0.625
9 O 0.091 0.584 0.501
10 O 0.324 0.501 0.584
11 O 0.416 0.909 0.676
12 O 0.499 0.676 0.909
13 O 0.501 0.324 0.091
14 O 0.584 0.091 0.324
15 O 0.676 0.499 0.416
16 O 0.909 0.416 0.499

Properties
total magnetization = 0.00 μB/f.u.
electronic total energy = -99.1 eV for the cell shown
formation energy without anion corrections = -2057 meV/atom

=====

Record 7
Computed, not measured: an optimized crystal structure of Hg2MoCl at the PBE-GGA level of DFT.

a b c (Å): 6.375 6.375 6.375
angles (deg): 142.64 142.64 53.87
Element x y z (fractional)
1 Hg 0.250 0.750 0.500
2 Hg 0.750 0.250 0.500
3 Mo 0.000 0.000 0.000
4 Cl 0.500 0.500 0.000

Properties
ΔE to the lowest computed polymorph = 1.90 eV per formula unit
total magnetization = 4.35 μB/f.u.
electronic total energy = -10.7 eV for the cell shown
formation energy without anion corrections = 644 meV/atom

=====

Record 8
Computed, not measured: an optimized crystal structure of LiPrLuAg at the PBE-GGA level of DFT.

a b c (Å): 5.225 5.225 5.225
angles (deg): 60.00 60.00 60.00
Element x y z (fractional)
1 Li 0.000 0.000 0.000
2 Pr 0.750 0.750 0.750
3 Lu 0.250 0.250 0.250
4 Ag 0.500 0.500 0.500

Properties
total magnetization = 0.01 μB/f.u.
electronic total energy = -14.4 eV for the cell shown
energy of formation from the pure elements = -0.08 eV/atom

=====

Record 9
Computed, not measured: an optimized crystal structure of MnCr2Ru at the PBE-GGA level of DFT.

a b c (Å): 8.433 8.433 8.433
angles (deg): 17.87 17.87 17.87
Element x y z (fractional)
1 Mn 0.000 0.000 0.000
2 Cr 0.256 0.256 0.256
3 Cr 0.506 0.506 0.506
4 Ru 0.755 0.755 0.755

Properties
ΔE to the lowest computed polymorph = 0.72 eV per formula unit
total magnetization = 0.42 μB/f.u.
electronic total energy = -36.7 eV for the cell shown
energy of formation from the pure elements = 0.25 eV/atom

=====

Record 10
Computed, not measured: an optimized crystal structure of DyTl3Ge2Te6 at the PBE-GGA level of DFT.

a b c (Å): 7.663 7.663 8.002
angles (deg): 99.15 99.15 119.83
Element x y z (fractional)
1 Dy 0.000 0.000 0.000
2 Tl 0.163 0.837 0.500
3 Tl 0.500 0.500 0.500
4 Tl 0.837 0.163 0.500
5 Ge 0.332 0.668 0.000
6 Ge 0.668 0.332 0.000
7 Te 0.071 0.411 0.213
8 Te 0.269 0.269 0.787
9 Te 0.411 0.071 0.213
10 Te 0.589 0.929 0.787
11 Te 0.731 0.731 0.213
12 Te 0.929 0.589 0.787

Properties
total magnetization = 0.00 μB/f.u.
electronic total energy = -44.6 eV for the cell shown
formation energy without anion corrections = -402 meV/atom

=====

Record 11
Computed, not measured: an optimized crystal structure of NbPbAu2 at the PBE-GGA level of DFT.

a b c (Å): 6.205 6.205 6.205
angles (deg): 102.93 102.93 123.53
Element x y z (fractional)
1 Nb 0.000 0.000 0.000
2 Nb 0.750 0.250 0.500
3 Pb 0.250 0.750 0.500
4 Pb 0.500 0.500 0.000
5 Au 0.108 0.125 0.483
6 Au 0.375 0.892 0.017
7 Au 0.642 0.625 0.517
8 Au 0.875 0.358 0.983

Properties
total magnetization = 0.84 μB/f.u.
electronic total energy = -38.3 eV for the cell shown
energy of formation from the pure elements = 0.30 eV/atom

=====

Record 12
Computed, not measured: an optimized crystal structure of YHo3Zn at the PBE-GGA level of DFT.

a b c (Å): 7.097 7.097 7.686
angles (deg): 117.35 117.35 72.53
Element x y z (fractional)
1 Y 0.081 0.081 0.273
2 Y 0.919 0.919 0.727
3 Ho 0.012 0.609 0.285
4 Ho 0.391 0.988 0.715
5 Ho 0.453 0.453 0.690
6 Ho 0.547 0.547 0.310
7 Ho 0.609 0.012 0.285
8 Ho 0.988 0.391 0.715
9 Zn 0.233 0.233 0.065
10 Zn 0.767 0.767 0.935

Properties
total magnetization = 0.00 μB/f.u.
electronic total energy = -42.4 eV for the cell shown
energy of formation from the pure elements = 0.06 eV/atom

=====

Record 13
Computed, not measured: an optimized crystal structure of Cs2Tl3AgPb4 at the PBE-GGA level of DFT.

a b c (Å): 5.274 5.274 13.207
angles (deg): 90.00 90.00 90.00
Element x y z (fractional)
1 Cs 0.000 0.500 0.243
2 Cs 0.500 0.000 0.757
3 Tl 0.000 0.000 0.000
4 Tl 0.000 0.500 0.644
5 Tl 0.500 0.000 0.356
6 Ag 0.500 0.500 0.000
7 Pb 0.000 0.000 0.500
8 Pb 0.000 0.500 0.882
9 Pb 0.500 0.000 0.118
10 Pb 0.500 0.500 0.500

Properties
total magnetization = 0.00 μB/f.u.
electronic total energy = -26.8 eV for the cell shown
energy of formation from the pure elements = -0.03 eV/atom

=====

Record 14
Computed, not measured: an optimized crystal structure of Y3TlI at the PBE-GGA level of DFT.

a b c (Å): 5.613 5.613 5.613
angles (deg): 90.00 90.00 90.00
Element x y z (fractional)
1 Y 0.000 0.000 0.500
2 Y 0.000 0.500 0.000
3 Y 0.500 0.000 0.000
4 Tl 0.500 0.500 0.500
5 I 0.000 0.000 0.000

Properties
ΔE to the lowest computed polymorph = 0.00 eV per formula unit
total magnetization = 0.00 μB/f.u.
electronic total energy = -22.5 eV for the cell shown
formation energy without anion corrections = 158 meV/atom

=====

Record 15
Computed, not measured: an optimized crystal structure of Li3Zn at the PBE-GGA level of DFT.

a b c (Å): 9.917 9.917 9.917
angles (deg): 16.38 16.38 16.38
Element x y z (fractional)
1 Li 0.000 0.000 0.000
2 Li 0.246 0.246 0.246
3 Li 0.754 0.754 0.754
4 Zn 0.500 0.500 0.500

Properties
total magnetization = 0.00 μB/f.u.
electronic total energy = -7.2 eV for the cell shown
energy of formation from the pure elements = -0.04 eV/atom

=====

Record 16
Computed, not measured: an optimized crystal structure of SmFeSi2Rh at the PBE-GGA level of DFT.

a b c (Å): 5.693 5.693 5.693
angles (deg): 138.23 138.23 60.55
Element x y z (fractional)
1 Sm 0.000 0.000 0.000
2 Fe 0.750 0.250 0.500
3 Si 0.370 0.370 0.000
4 Si 0.630 0.630 0.000
5 Rh 0.250 0.750 0.500

Properties
total magnetization = 0.00 μB/f.u.
electronic total energy = -35.8 eV for the cell shown
formation energy without anion corrections = -877 meV/atom

=====

Record 17
Computed, not measured: an optimized crystal structure of TcPHS2 at the PBE-GGA level of DFT.

a b c (Å): 4.366 4.366 3.161
angles (deg): 90.00 90.00 90.00
Element x y z (fractional)
1 Tc 0.000 0.000 0.000
2 P 0.500 0.500 0.000
3 H 0.500 0.500 0.500
4 S 0.000 0.500 0.500
5 S 0.500 0.000 0.500

Properties
ΔE to the lowest computed polymorph = 0.00 eV per formula unit
total magnetization = 0.00 μB/f.u.
electronic total energy = -23.7 eV for the cell shown

=====

Record 18
Computed, not measured: an optimized crystal structure of HfNbCu at the PBE-GGA level of DFT.

a b c (Å): 7.436 7.436 4.504
angles (deg): 90.00 90.00 154.83
Element x y z (fractional)
1 Hf 0.078 0.922 0.750
2 Hf 0.922 0.078 0.250
3 Nb 0.250 0.750 0.250
4 Nb 0.750 0.250 0.750
5 Cu 0.403 0.597 0.750
6 Cu 0.597 0.403 0.250

Properties
ΔE to the lowest computed polymorph = 0.31 eV per formula unit
total magnetization = 0.00 μB/f.u.
electronic total energy = -48.3 eV for the cell shown
energy of formation from the pure elements = -0.02 eV/atom

=====

Record 19
Computed, not measured: an optimized crystal structure of MnNi2As at the PBE-GGA level of DFT.

a b c (Å): 7.879 7.879 7.879
angles (deg): 20.24 20.24 20.24
Element x y z (fractional)
1 Mn 0.000 0.000 0.000
2 Ni 0.501 0.501 0.501
3 Ni 0.749 0.749 0.749
4 As 0.247 0.247 0.247

Properties
total magnetization = 3.29 μB/f.u.
electronic total energy = -24.8 eV for the cell shown
energy of formation from the pure elements = 0.15 eV/atom

=====

Record 20
Computed, not measured: an optimized crystal structure of K2Cu2F7 at the PBE-GGA level of DFT.

a b c (Å): 7.137 7.137 3.783
angles (deg): 90.19 90.19 118.07
Element x y z (fractional)
1 K 0.220 0.780 0.000
2 K 0.780 0.220 0.000
3 Cu 0.277 0.277 0.503
4 Cu 0.723 0.723 0.497
5 F 0.000 0.000 0.500
6 F 0.140 0.439 0.503
7 F 0.298 0.298 0.003
8 F 0.439 0.140 0.503
9 F 0.561 0.860 0.497
10 F 0.702 0.702 0.997
11 F 0.860 0.561 0.497

Properties
ΔE to the lowest computed polymorph = 0.14 eV per formula unit
total magnetization = 0.90 μB/f.u.
electronic total energy = -45.1 eV for the cell shown
formation energy without anion corrections = -1967 meV/atom